Compound: ZrBeTl2Ge
Source: Alexandria
Functional: PBEsol
Structure: relaxed

- E_tot: -4.274 eV per atom
- M_tot: 0.0 μB per formula unit

The structure in CIF format:
```
data_ZrBeTl2Ge
_chemical_formula_sum 'Zr1 Be1 Tl2 Ge1'
_symmetry_space_group_name_H-M 'P 4/m m m'
_symmetry_Int_Tables_number 123
_symmetry_space_group_name_Hall '-P 4 2'
_cell_length_a 4.586
_cell_length_b 4.586
_cell_length_c 4.959
_cell_angle_alpha 90.00
_cell_angle_beta 90.00
_cell_angle_gamma 90.00
loop_
_atom_site_label
_atom_site_type_symbol
_atom_site_fract_x
_atom_site_fract_y
_atom_site_fract_z
Zr1 Zr 0.000 0.000 0.000
Be1 Be 0.000 0.000 0.500
Tl1 Tl 0.000 0.500 0.500
Ge1 Ge 0.500 0.500 0.000
```

Compound: CaTe2Ru
Source: Alexandria
Functional: PBEsol
Structure: relaxed

- ΔE_f (raw): -0.35 eV/atom
- Offset from the most stable computed form: 0.0 kJ/mol of formula units
- M_tot: 0.0 μB per formula unit

The structure in CIF format:
```
data_CaTe2Ru
_chemical_formula_sum 'Ca2 Te4 Ru2'
_symmetry_space_group_name_H-M 'I m m m'
_symmetry_Int_Tables_number 71
_symmetry_space_group_name_Hall '-I 2 2'
_cell_length_a 4.038
_cell_length_b 5.948
_cell_length_c 8.092
_cell_angle_alpha 90.00
_cell_angle_beta 90.00
_cell_angle_gamma 90.00
loop_
_atom_site_label
_atom_site_type_symbol
_atom_site_fract_x
_atom_site_fract_y
_atom_site_fract_z
Ca1 Ca 0.000 0.000 0.000
Te1 Te 0.000 0.500 0.203
Ru1 Ru 0.000 0.000 0.500
```

Compound: CrRhAu2
Source: Alexandria
Functional: PBEsol
Structure: relaxed

- E_tot: -6.299 eV per atom
- M_tot: 3.4 μB per formula unit

The structure in CIF format:
```
data_CrRhAu2
_chemical_formula_sum 'Cr4 Rh4 Au8'
_symmetry_space_group_name_H-M 'F m -3 m'
_symmetry_Int_Tables_number 225
_symmetry_space_group_name_Hall '-F 4 2 3'
_cell_length_a 6.272
_cell_length_b 6.272
_cell_length_c 6.272
_cell_angle_alpha 90.00
_cell_angle_beta 90.00
_cell_angle_gamma 90.00
loop_
_atom_site_label
_atom_site_type_symbol
_atom_site_fract_x
_atom_site_fract_y
_atom_site_fract_z
Cr1 Cr 0.000 0.000 0.000
Rh1 Rh 0.000 0.000 0.500
Au1 Au 0.250 0.250 0.250
```

Compound: PaTc2Sn
Source: Alexandria
Functional: PBEsol
Structure: relaxed

- E_tot: -9.460 eV per atom
- M_tot: 0.0 μB per formula unit

The structure in CIF format:
```
data_PaTc2Sn
_chemical_formula_sum 'Pa4 Tc8 Sn4'
_symmetry_space_group_name_H-M 'F m -3 m'
_symmetry_Int_Tables_number 225
_symmetry_space_group_name_Hall '-F 4 2 3'
_cell_length_a 6.619
_cell_length_b 6.619
_cell_length_c 6.619
_cell_angle_alpha 90.00
_cell_angle_beta 90.00
_cell_angle_gamma 90.00
loop_
_atom_site_label
_atom_site_type_symbol
_atom_site_fract_x
_atom_site_fract_y
_atom_site_fract_z
Pa1 Pa 0.000 0.000 0.000
Tc1 Tc 0.250 0.250 0.250
Sn1 Sn 0.000 0.000 0.500
```

Compound: CsKICl
Source: Alexandria
Functional: PBEsol
Structure: relaxed

- ΔE_f (raw): -1.67 eV/atom
- M_tot: 0.0 μB per formula unit

The structure in CIF format:
```
data_CsKICl
_chemical_formula_sum 'Cs1 K1 I1 Cl1'
_symmetry_space_group_name_H-M 'P 4/m m m'
_symmetry_Int_Tables_number 123
_symmetry_space_group_name_Hall '-P 4 2'
_cell_length_a 4.883
_cell_length_b 4.883
_cell_length_c 7.254
_cell_angle_alpha 90.00
_cell_angle_beta 90.00
_cell_angle_gamma 90.00
loop_
_atom_site_label
_atom_site_type_symbol
_atom_site_fract_x
_atom_site_fract_y
_atom_site_fract_z
Cs1 Cs 0.000 0.000 0.000
K1 K 0.500 0.500 0.500
I1 I 0.000 0.000 0.500
Cl1 Cl 0.500 0.500 0.000
```

Compound: Li2CdO
Source: Alexandria
Functional: PBEsol
Structure: relaxed

- ΔE_f (raw): -0.45 eV/atom
- M_tot: 0.0 μB per formula unit

The structure in CIF format:
```
data_Li2CdO
_chemical_formula_sum 'Li8 Cd4 O4'
_symmetry_space_group_name_H-M 'F m -3 m'
_symmetry_Int_Tables_number 225
_symmetry_space_group_name_Hall '-F 4 2 3'
_cell_length_a 5.970
_cell_length_b 5.970
_cell_length_c 5.970
_cell_angle_alpha 90.00
_cell_angle_beta 90.00
_cell_angle_gamma 90.00
loop_
_atom_site_label
_atom_site_type_symbol
_atom_site_fract_x
_atom_site_fract_y
_atom_site_fract_z
Li1 Li 0.250 0.250 0.250
Cd1 Cd 0.000 0.000 0.000
O1 O 0.000 0.000 0.500
```

Compound: LaMgTaFeO6
Source: Alexandria
Functional: PBEsol
Structure: relaxed

- ΔE_f (raw): -2.57 eV/atom
- M_tot: 4.0 μB per formula unit

The structure in CIF format:
```
data_LaMgTaFeO6
_chemical_formula_sum 'La2 Mg2 Ta2 Fe2 O12'
_symmetry_space_group_name_H-M 'P 1 c 1'
_symmetry_Int_Tables_number 7
_cell_length_a 5.380
_cell_length_b 5.562
_cell_length_c 9.457
_cell_angle_alpha 90.00
_cell_angle_beta 124.54
_cell_angle_gamma 90.00
loop_
_symmetry_equiv_pos_as_xyz
'x,y,z'
'x,-y,z+1/2'
loop_
_atom_site_label
_atom_site_type_symbol
_atom_site_fract_x
_atom_site_fract_y
_atom_site_fract_z
La1 La 0.000 0.201 0.000
Mg1 Mg 0.458 0.308 0.492
Ta1 Ta 0.741 0.258 0.252
Fe1 Fe 0.242 0.246 0.750
O1 O 0.024 0.475 0.817
O2 O 0.108 0.064 0.309
O3 O 0.404 0.468 0.197
O4 O 0.507 0.051 0.685
O5 O 0.588 0.308 0.008
O6 O 0.838 0.222 0.490
```

Compound: LaAl3Cu
Source: Alexandria
Functional: PBEsol
Structure: relaxed

- E_tot: -4.862 eV per atom
- M_tot: 0.0 μB per formula unit

The structure in CIF format:
```
data_LaAl3Cu
_chemical_formula_sum 'La2 Al6 Cu2'
_symmetry_space_group_name_H-M 'I 4 m m'
_symmetry_Int_Tables_number 107
_symmetry_space_group_name_Hall 'I 4 -2'
_cell_length_a 4.252
_cell_length_b 4.252
_cell_length_c 10.604
_cell_angle_alpha 90.00
_cell_angle_beta 90.00
_cell_angle_gamma 90.00
loop_
_atom_site_label
_atom_site_type_symbol
_atom_site_fract_x
_atom_site_fract_y
_atom_site_fract_z
La1 La 0.000 0.000 0.000
Al1 Al 0.000 0.000 0.593
Al2 Al 0.000 0.500 0.251
Cu1 Cu 0.000 0.000 0.367
```

Compound: AlHg8
Source: Alexandria
Functional: PBEsol
Structure: relaxed

- E_tot: -0.901 eV per atom
- M_tot: 0.0 μB per formula unit

The structure in CIF format:
```
data_AlHg8
_chemical_formula_sum 'Al2 Hg16'
_symmetry_space_group_name_H-M 'I 4/m m m'
_symmetry_Int_Tables_number 139
_symmetry_space_group_name_Hall '-I 4 2'
_cell_length_a 9.779
_cell_length_b 9.779
_cell_length_c 4.225
_cell_angle_alpha 90.00
_cell_angle_beta 90.00
_cell_angle_gamma 90.00
loop_
_atom_site_label
_atom_site_type_symbol
_atom_site_fract_x
_atom_site_fract_y
_atom_site_fract_z
Al1 Al 0.000 0.000 0.000
Hg1 Hg 0.000 0.331 0.000
Hg2 Hg 0.163 0.163 0.500
```

Compound: MgZrN2O
Source: Alexandria
Functional: PBEsol
Structure: relaxed

- ΔE_f (raw): -0.62 eV/atom
- M_tot: 1.3 μB per formula unit

The structure in CIF format:
```
data_MgZrN2O
_chemical_formula_sum 'Mg1 Zr1 N2 O1'
_symmetry_space_group_name_H-M 'P 4/m m m'
_symmetry_Int_Tables_number 123
_symmetry_space_group_name_Hall '-P 4 2'
_cell_length_a 4.148
_cell_length_b 4.148
_cell_length_c 4.074
_cell_angle_alpha 90.00
_cell_angle_beta 90.00
_cell_angle_gamma 90.00
loop_
_atom_site_label
_atom_site_type_symbol
_atom_site_fract_x
_atom_site_fract_y
_atom_site_fract_z
Mg1 Mg 0.000 0.000 0.000
Zr1 Zr 0.500 0.500 0.500
N1 N 0.000 0.500 0.500
O1 O 0.500 0.500 0.000
```

Compound: K2SiAu
Source: Alexandria
Functional: PBEsol
Structure: relaxed

- ΔE_f (raw): -0.10 eV/atom
- M_tot: 0.0 μB per formula unit

The structure in CIF format:
```
data_K2SiAu
_chemical_formula_sum 'K4 Si2 Au2'
_symmetry_space_group_name_H-M 'I m m 2'
_symmetry_Int_Tables_number 44
_cell_length_a 4.544
_cell_length_b 5.873
_cell_length_c 9.663
_cell_angle_alpha 90.00
_cell_angle_beta 90.00
_cell_angle_gamma 90.00
loop_
_symmetry_equiv_pos_as_xyz
'x,y,z'
'-x,-y,z'
'-x,y,z'
'x,-y,z'
'x+1/2,y+1/2,z+1/2'
'-x+1/2,-y+1/2,z+1/2'
'-x+1/2,y+1/2,z+1/2'
'x+1/2,-y+1/2,z+1/2'
loop_
_atom_site_label
_atom_site_type_symbol
_atom_site_fract_x
_atom_site_fract_y
_atom_site_fract_z
K1 K 0.000 0.000 0.000
K2 K 0.000 0.500 0.180
Si1 Si 0.000 0.500 0.815
Au1 Au 0.000 0.000 0.357
```

Compound: CoAs2BrN
Source: Alexandria
Functional: PBEsol
Structure: relaxed

- ΔE_f (raw): 1.27 eV/atom
- M_tot: 2.6 μB per formula unit

The structure in CIF format:
```
data_CoAs2BrN
_chemical_formula_sum 'Co1 As2 Br1 N1'
_symmetry_space_group_name_H-M 'P 4/m m m'
_symmetry_Int_Tables_number 123
_symmetry_space_group_name_Hall '-P 4 2'
_cell_length_a 4.400
_cell_length_b 4.400
_cell_length_c 5.097
_cell_angle_alpha 90.00
_cell_angle_beta 90.00
_cell_angle_gamma 90.00
loop_
_atom_site_label
_atom_site_type_symbol
_atom_site_fract_x
_atom_site_fract_y
_atom_site_fract_z
Co1 Co 0.000 0.000 0.000
As1 As 0.000 0.500 0.000
Br1 Br 0.000 0.000 0.500
N1 N 0.500 0.500 0.500
```

Compound: BeZnRe3
Source: Alexandria
Functional: PBEsol
Structure: relaxed

- E_tot: -6.660 eV per atom
- M_tot: 0.0 μB per formula unit

The structure in CIF format:
```
data_BeZnRe3
_chemical_formula_sum 'Be1 Zn1 Re3'
_symmetry_space_group_name_H-M 'P m -3 m'
_symmetry_Int_Tables_number 221
_symmetry_space_group_name_Hall '-P 4 2 3'
_cell_length_a 4.416
_cell_length_b 4.416
_cell_length_c 4.416
_cell_angle_alpha 90.00
_cell_angle_beta 90.00
_cell_angle_gamma 90.00
loop_
_atom_site_label
_atom_site_type_symbol
_atom_site_fract_x
_atom_site_fract_y
_atom_site_fract_z
Be1 Be 0.000 0.000 0.000
Zn1 Zn 0.500 0.500 0.500
Re1 Re 0.000 0.500 0.500
```

Compound: TaTeSe2
Source: Alexandria
Functional: PBEsol
Structure: relaxed

- ΔE_f (raw): 0.23 eV/atom
- M_tot: 0.0 μB per formula unit

The structure in CIF format:
```
data_TaTeSe2
_chemical_formula_sum 'Ta4 Te4 Se8'
_symmetry_space_group_name_H-M 'F -4 3 m'
_symmetry_Int_Tables_number 216
_symmetry_space_group_name_Hall 'F -4 2 3'
_cell_length_a 6.780
_cell_length_b 6.780
_cell_length_c 6.780
_cell_angle_alpha 90.00
_cell_angle_beta 90.00
_cell_angle_gamma 90.00
loop_
_atom_site_label
_atom_site_type_symbol
_atom_site_fract_x
_atom_site_fract_y
_atom_site_fract_z
Ta1 Ta 0.000 0.000 0.000
Te1 Te 0.250 0.250 0.250
Se1 Se 0.000 0.000 0.500
Se2 Se 0.250 0.250 0.750
```